First-principles (PBE) data for a geometry-optimized Ac5Pu3H12 structure, as listed in Alexandria via LeMat-Bulk.

Space group: Ia-3d (230)
Energy: -435.00 eV/cell

Cell: 12.111 12.111 12.111 Å, 109.47 109.47 109.47°
Positions (direct):
1 Ac 0.000 0.000 0.000
2 Ac 0.000 0.000 0.500
3 Ac 0.000 0.500 0.000
4 Ac 0.000 0.500 0.500
5 Ac 0.125 0.750 0.875
6 Ac 0.125 0.875 0.250
7 Ac 0.250 0.125 0.875
8 Ac 0.250 0.625 0.375
9 Ac 0.375 0.250 0.625
10 Ac 0.375 0.625 0.750
11 Ac 0.500 0.000 0.000
12 Ac 0.500 0.000 0.500
13 Ac 0.500 0.500 0.000
14 Ac 0.500 0.500 0.500
15 Ac 0.625 0.375 0.250
16 Ac 0.625 0.750 0.375
17 Ac 0.750 0.375 0.625
18 Ac 0.750 0.875 0.125
19 Ac 0.875 0.125 0.750
20 Ac 0.875 0.250 0.125
21 Pu 0.125 0.250 0.375
22 Pu 0.125 0.375 0.750
23 Pu 0.250 0.375 0.125
24 Pu 0.250 0.875 0.625
25 Pu 0.375 0.125 0.250
26 Pu 0.375 0.750 0.125
27 Pu 0.625 0.250 0.875
28 Pu 0.625 0.875 0.750
29 Pu 0.750 0.125 0.375
30 Pu 0.750 0.625 0.875
31 Pu 0.875 0.625 0.250
32 Pu 0.875 0.750 0.625
33 H 0.074 0.737 0.655
34 H 0.074 0.837 0.419
35 H 0.081 0.663 0.426
36 H 0.081 0.917 0.655
37 H 0.083 0.237 0.163
38 H 0.083 0.345 0.919
39 H 0.155 0.237 0.574
40 H 0.155 0.417 0.581
41 H 0.163 0.083 0.237
42 H 0.163 0.581 0.926
43 H 0.237 0.163 0.083
44 H 0.237 0.574 0.155
45 H 0.263 0.345 0.926
46 H 0.263 0.417 0.337
47 H 0.337 0.263 0.417
48 H 0.337 0.574 0.919
49 H 0.345 0.919 0.083
50 H 0.345 0.926 0.263
51 H 0.417 0.337 0.263
52 H 0.417 0.581 0.155
53 H 0.419 0.074 0.837
54 H 0.419 0.845 0.583
55 H 0.426 0.081 0.663
56 H 0.426 0.845 0.763
57 H 0.574 0.155 0.237
58 H 0.574 0.919 0.337
59 H 0.581 0.155 0.417
60 H 0.581 0.926 0.163
61 H 0.583 0.419 0.845
62 H 0.583 0.663 0.737
63 H 0.655 0.074 0.737
64 H 0.655 0.081 0.917
65 H 0.663 0.426 0.081
66 H 0.663 0.737 0.583
67 H 0.737 0.583 0.663
68 H 0.737 0.655 0.074
69 H 0.763 0.426 0.845
70 H 0.763 0.837 0.917
71 H 0.837 0.419 0.074
72 H 0.837 0.917 0.763
73 H 0.845 0.583 0.419
74 H 0.845 0.763 0.426
75 H 0.917 0.655 0.081
76 H 0.917 0.763 0.837
77 H 0.919 0.083 0.345
78 H 0.919 0.337 0.574
79 H 0.926 0.163 0.581
80 H 0.926 0.263 0.345